Compound: MoAuF2
Source: Alexandria
Functional: PBE with a Hubbard U
Structure: optimized geometry

Fermi-level density of states: 1.0 states/eV/cell
crystal system: trigonal
size of the total moment: 0.00 μB per cell
total DFT energy (no corrections): -17.84 eV for the cell shown

```
MoAuF2
1.0
1.1284 -1.5199 10.1650
1.5571 -4.1578 9.3380
3.6833 -2.3400 9.3738
F Au Mo
2 1 1
direct
0.1176 0.1176 0.1176
0.8824 0.8824 0.8824
0.0000 0.0000 0.0000
0.5000 0.5000 0.5000
```